Entry from Alexandria: a PBEsol-optimized structure of YAsPt2 (SCAN).

Structure (POSCAR):
```
YAsPt2
1.0
4.7004 0.0000 0.0000
0.0000 4.7004 0.0000
-2.3502 -2.3502 7.9405
Y Pt As
2 4 2
direct
0.2500 0.7500 0.5000
0.0000 0.0000 0.0000
0.4743 0.8750 0.2500
0.6250 0.5257 0.7500
0.1250 0.2243 0.7500
0.7757 0.3750 0.2500
0.7500 0.2500 0.5000
0.5000 0.5000 0.0000
```

DOS at the Fermi energy ... 0.196 states/eV/atom
V ... 21.9 Å³ per atom
Crystal system ... tetragonal
Magnetic moment ... 0.002 μB per atom
Total DFT energy (no corrections) ... -383.5 eV/cell